Computed, not measured: TaBeAg2 after structural relaxation at the GGA-PBE level of DFT.

Cell: 2.7566 4.3441 5.3916 Å, 90.00 101.85 90.00°
With the nearest neighbours (Å) after each atom.
Space group P2/m (No. 10)
Inequivalent atoms, fractional coordinates:
Ta  0.0000  0.0000  0.0000 [1 per cell]  2 Ta 2.76, 2 Be 2.76, 8 Ag 2.88-2.99
Be  0.5000  0.0000  0.5000 [1 per cell]  4 Ag 2.58, 2 Be 2.76, 2 Ta 2.76
Ag  0.3506  0.5000  0.7332 [2 per cell]  2 Be 2.58, 5 Ag 2.76-2.84, 2 Ta 2.88

## Properties
E_form = 389.7 meV/atom
E = -4.93 eV per atom